Entry 1:
{
  "formula": "ZnTcAg2",
  "functional": "PBE",
  "state": "relaxed",
  "lattice": [[2.797, 0.000, 0.000], [0.000, 4.743, 0.000], [0.000, 0.000, 4.882]],
  "species": ["Tc", "Zn", "Ag", "Ag"],
  "frac_coords": [[0.500, 0.000, 0.500], [0.000, 0.500, 0.500], [0.500, 0.500, 0.000], [0.000, 0.000, 0.000]],
  "e_form_ev_per_atom": 0.370,
  "e_tot_ev_per_cell": -15.9
}

Entry 2:
{
  "formula": "ZnTc2Ag",
  "functional": "PBE",
  "state": "relaxed",
  "lattice": [[4.482, 0.000, 0.000], [0.000, 2.657, 0.044], [0.000, 1.531, 5.163]],
  "species": ["Tc", "Tc", "Ag", "Zn"],
  "frac_coords": [[0.000, 0.004, 0.016], [0.000, 0.496, 0.484], [0.500, 0.750, 0.750], [0.500, 0.250, 0.250]],
  "e_form_ev_per_atom": 0.392,
  "e_tot_ev_per_cell": -23.3
}

Entry 3:
{
  "formula": "ZnTcAg2",
  "functional": "PBE",
  "state": "relaxed",
  "lattice": [[4.635, -0.105, 0.000], [0.662, 4.588, 0.000], [-2.648, -2.242, 3.075]],
  "species": ["Ag", "Ag", "Tc", "Zn"],
  "frac_coords": [[0.000, 0.000, 0.000], [0.250, 0.750, 0.500], [0.500, 0.500, 0.000], [0.750, 0.250, 0.500]],
  "e_form_ev_per_atom": 0.441,
  "e_tot_ev_per_cell": -15.6
}